1) # PBE La2MgNiBi, optimized geometry
data_La2MgNiBi
_space_group_name_H-M_alt 'P 4/m m m'
_space_group_IT_number 123
_space_group_name_Hall '-P 4 2'
_cell_length_a 5.885
_cell_length_b 5.885
_cell_length_c 4.455
_cell_angle_alpha 90.00
_cell_angle_beta 90.00
_cell_angle_gamma 90.00
loop_
_atom_site_label
_atom_site_type_symbol
_atom_site_fract_x
_atom_site_fract_y
_atom_site_fract_z
La1 La 0.000 0.500 0.000
Mg1 Mg 0.000 0.000 0.000
Ni1 Ni 0.000 0.000 0.500
Bi1 Bi 0.500 0.500 0.500
# mass density	6.1	g cm⁻³

=====

2) # PBE La2MgNiBi, optimized geometry
data_La2MgNiBi
_space_group_name_H-M_alt 'P 4/m m m'
_space_group_IT_number 123
_space_group_name_Hall '-P 4 2'
_cell_length_a 5.361
_cell_length_b 5.361
_cell_length_c 4.964
_cell_angle_alpha 90.00
_cell_angle_beta 90.00
_cell_angle_gamma 90.00
loop_
_atom_site_label
_atom_site_type_symbol
_atom_site_fract_x
_atom_site_fract_y
_atom_site_fract_z
La1 La 0.000 0.500 0.000
Mg1 Mg 0.000 0.000 0.500
Ni1 Ni 0.000 0.000 0.000
Bi1 Bi 0.500 0.500 0.500
# mass density	6.6	g cm⁻³

=====

2) is favored, and the nearest alternative lies 68.8 kJ/mol of atoms above it.

=====

1) # PBE LaMnBi3, optimized geometry
data_LaMnBi3
_space_group_name_H-M_alt 'P m -3 m'
_space_group_IT_number 221
_space_group_name_Hall '-P 4 2 3'
_cell_length_a 6.130
_cell_length_b 6.130
_cell_length_c 6.130
_cell_angle_alpha 90.00
_cell_angle_beta 90.00
_cell_angle_gamma 90.00
loop_
_atom_site_label
_atom_site_type_symbol
_atom_site_fract_x
_atom_site_fract_y
_atom_site_fract_z
La1 La 0.000 0.000 0.000
Mn1 Mn 0.500 0.500 0.500
Bi1 Bi 0.000 0.000 0.500
# mass density	5.9	g cm⁻³

=====

2) # PBE LaMnBi3, optimized geometry
data_LaMnBi3
_space_group_name_H-M_alt 'P m -3 m'
_space_group_IT_number 221
_space_group_name_Hall '-P 4 2 3'
_cell_length_a 5.252
_cell_length_b 5.252
_cell_length_c 5.252
_cell_angle_alpha 90.00
_cell_angle_beta 90.00
_cell_angle_gamma 90.00
loop_
_atom_site_label
_atom_site_type_symbol
_atom_site_fract_x
_atom_site_fract_y
_atom_site_fract_z
La1 La 0.000 0.000 0.000
Mn1 Mn 0.500 0.500 0.500
Bi1 Bi 0.000 0.500 0.500
# mass density	9.4	g cm⁻³

=====

2) is favored, and the nearest alternative lies 71.3 kJ/mol of atoms above it.

=====

1) # PBE LaMn3Bi, optimized geometry
data_LaMn3Bi
_space_group_name_H-M_alt 'P m -3 m'
_space_group_IT_number 221
_space_group_name_Hall '-P 4 2 3'
_cell_length_a 4.940
_cell_length_b 4.940
_cell_length_c 4.940
_cell_angle_alpha 90.00
_cell_angle_beta 90.00
_cell_angle_gamma 90.00
loop_
_atom_site_label
_atom_site_type_symbol
_atom_site_fract_x
_atom_site_fract_y
_atom_site_fract_z
La1 La 0.000 0.000 0.000
Mn1 Mn 0.000 0.000 0.500
Bi1 Bi 0.500 0.500 0.500
# mass density	7.1	g cm⁻³

=====

2) # PBE LaMn3Bi, optimized geometry
data_LaMn3Bi
_space_group_name_H-M_alt 'P m -3 m'
_space_group_IT_number 221
_space_group_name_Hall '-P 4 2 3'
_cell_length_a 5.098
_cell_length_b 5.098
_cell_length_c 5.098
_cell_angle_alpha 90.00
_cell_angle_beta 90.00
_cell_angle_gamma 90.00
loop_
_atom_site_label
_atom_site_type_symbol
_atom_site_fract_x
_atom_site_fract_y
_atom_site_fract_z
La1 La 0.000 0.000 0.000
Mn1 Mn 0.000 0.500 0.500
Bi1 Bi 0.500 0.500 0.500
# mass density	6.4	g cm⁻³

=====

2) is favored, and the nearest alternative lies 51.9 kJ/mol of atoms above it.